Record 1
A relaxed LiMg crystal, computed with PBE.

## Properties
total moment = 0.000 μB per atom
density = 1.20 g/cm3
energy of formation from the pure elements = -25 meV/atom
calculated total energy = -1.779 eV/atom

Structure (extended XYZ):
```
4
Lattice="-1.726 2.377 -1.093 -1.214 -2.887 0.133 -3.390 1.858 9.397" Properties=species:S:1:pos:R:3 pbc="T T T"
Mg -1.682 0.922 4.663
Mg -3.940 0.269 6.808
Li -0.007 0.004 0.018
Li -2.225 -0.671 2.055
```



Record 2
A relaxed Tl2RuAu crystal, computed with PBE.

## Properties
total moment = 0.000 μB per atom
density = 14.01 g/cm3
energy of formation from the pure elements = 512 meV/atom
calculated total energy = -3.810 eV/atom
energy above the most stable polymorph in this dataset = 175 meV per atom

Structure (extended XYZ):
```
4
Lattice="-2.849 -0.051 -1.487 2.646 -0.764 -1.655 -1.085 -8.916 2.382" Properties=species:S:1:pos:R:3 pbc="T T T"
Au -0.372 -2.637 -0.976
Ru -0.915 -7.095 0.216
Tl -1.071 -8.800 2.351
Tl -0.557 -4.574 1.222
```



Record 3
A relaxed RbMgZnSb2 crystal, computed with PBE.

## Properties
total moment = 0.000 μB per atom
density = 4.44 g/cm3
uncorrected formation energy = -0.33 eV/atom
calculated total energy = -2.743 eV/atom

Structure (extended XYZ):
```
5
Lattice="-3.719 -1.381 2.068 -1.235 -2.203 -3.693 6.253 -4.577 3.349" Properties=species:S:1:pos:R:3 pbc="T T T"
Rb 0.000 0.000 0.000
Mg 0.029 -3.875 2.302
Zn 1.270 -4.286 -0.578
Sb -1.428 -3.562 -0.108
Sb 2.727 -4.600 1.832
```



Record 4
A relaxed Ho6Te3Rh2Se crystal, computed with PBE.

## Properties
total moment = 0.000 μB per atom
density = 8.60 g/cm3
uncorrected formation energy = -1.22 eV/atom
calculated total energy = -5.812 eV/atom

Structure (extended XYZ):
```
12
Lattice="7.191 -0.008 -0.010 -3.601 6.224 -0.010 -1.208 -2.091 7.161" Properties=species:S:1:pos:R:3 pbc="T T T"
Ho 3.658 1.949 5.623
Ho 2.325 4.026 1.490
Ho -1.275 2.176 1.517
Ho -0.140 4.142 5.623
Ho 0.057 0.099 5.650
Ho 2.522 -0.017 1.517
Te -2.473 4.178 3.570
Te 4.855 -0.054 3.570
Te 1.191 2.062 3.570
Rh -0.015 4.154 -0.010
Rh 3.605 2.062 -0.010
Se 0.000 0.000 0.000
```



Record 5
A relaxed Pm2PuHg8 crystal, computed with PBE.

## Properties
total moment = 0.541 μB per atom
density = 12.38 g/cm3
energy of formation from the pure elements = -249 meV/atom
calculated total energy = -2.635 eV/atom

Structure (extended XYZ):
```
11
Lattice="4.991 0.000 -1.519 -1.089 6.302 -3.579 -0.072 0.680 8.723" Properties=species:S:1:pos:R:3 pbc="T T T"
Pm 0.183 4.628 0.590
Pm 3.647 2.353 3.035
Pu 2.495 0.000 -0.759
Hg 2.275 5.619 -1.491
Hg 1.091 4.041 3.594
Hg 0.596 1.207 1.945
Hg -0.315 1.825 -1.036
Hg 3.233 5.775 1.680
Hg 2.738 2.941 0.031
Hg 1.554 1.363 5.116
Hg 4.144 5.156 4.661
```



Record 6
A relaxed MgPa6N12 crystal, computed with PBE.

## Properties
total moment = 0.000 μB per atom
density = 9.57 g/cm3
uncorrected formation energy = -1.28 eV/atom
calculated total energy = -9.617 eV/atom

Structure (extended XYZ):
```
19
Lattice="6.483 0.161 -1.205 -1.478 6.315 -1.205 0.124 0.161 6.593" Properties=species:S:1:pos:R:3 pbc="T T T"
Mg 0.000 0.000 0.000
Pa 0.530 1.954 3.428
Pa 4.112 2.791 4.354
Pa 1.418 5.631 3.152
Pa 4.600 4.682 0.755
Pa 1.018 3.845 -0.170
Pa 3.712 1.005 1.032
N 2.661 1.282 3.143
N 0.330 3.821 1.974
N 3.194 2.898 -0.074
N 2.469 5.354 1.040
N 4.800 2.815 2.209
N 1.936 3.738 4.257
N -0.811 6.075 3.226
N 0.746 5.891 -1.127
N 0.006 2.206 5.627
N 5.941 0.561 0.957
N 4.384 0.745 5.310
N 5.124 4.430 -1.444
```



Record 7
A relaxed LaSm4In4 crystal, computed with PBE.

## Properties
total moment = 0.000 μB per atom
density = 6.83 g/cm3
energy of formation from the pure elements = -196 meV/atom
calculated total energy = -4.058 eV/atom

Structure (extended XYZ):
```
18
Lattice="-1.918 6.995 1.059 -2.235 -1.640 6.785 9.936 2.150 3.793" Properties=species:S:1:pos:R:3 pbc="T T T"
La 0.000 0.000 0.000
La 2.892 3.752 5.819
Sm 7.537 2.748 7.106
Sm 6.497 6.542 7.680
Sm -1.839 2.415 6.084
Sm -0.627 3.305 2.404
Sm 2.496 -0.303 6.520
Sm 3.519 0.448 3.414
Sm 5.291 3.154 2.505
Sm 4.414 6.356 2.990
In 5.110 3.904 8.831
In 6.378 4.835 4.983
In -0.504 5.119 5.030
In 0.583 1.152 4.430
In 2.308 2.601 1.389
In 1.478 5.629 1.847
In 6.450 1.068 4.628
In 5.483 0.358 7.566
```



Record 8
A relaxed NaSb2TeMo crystal, computed with PBE.

## Properties
total moment = 0.000 μB per atom
density = 5.26 g/cm3
uncorrected formation energy = 0.23 eV/atom
calculated total energy = -4.476 eV/atom
energy above the most stable polymorph in this dataset = 0 meV per atom

Structure (extended XYZ):
```
5
Lattice="5.253 0.000 0.000 0.000 5.253 0.000 0.000 0.000 5.602" Properties=species:S:1:pos:R:3 pbc="T T T"
Sb 0.000 2.627 0.000
Sb 2.627 0.000 0.000
Mo 0.000 0.000 0.000
Te 0.000 0.000 2.801
Na 2.627 2.627 2.801
```